(1)
{
  "formula": "Lu4CuSbC2",
  "functional": "GGA-PBE",
  "state": "relaxed",
  "magnetic_moment_mub_per_atom": 0.000,
  "dft_energy_ev_per_atom": -6.02,
  "lattice": [[-2.6570, -1.3208, 1.9661], [1.4966, -1.9949, -2.5398], [9.3424, -4.8862, 9.3428]],
  "species": ["Lu", "C", "Lu", "C", "Lu", "Lu", "Cu", "Sb"],
  "fractional_positions": [[0.3333, 0.6667, 0.1435], [0.6667, 0.3333, 0.7634], [0.0000, 0.0000, 0.3257], [0.6667, 0.3333, 0.2366], [0.3333, 0.6667, 0.8565], [0.0000, 0.0000, 0.6743], [0.0000, 0.0000, 0.0000], [0.3333, 0.6667, 0.5000]]
}

=====

(2)
{
  "formula": "TlSb2Ir",
  "functional": "GGA-PBE",
  "state": "relaxed",
  "magnetic_moment_mub_per_atom": 0.000,
  "dft_energy_ev_per_atom": -4.31,
  "lattice": [[-2.8979, 0.6672, 4.0823], [-4.4730, 2.3060, -0.4279], [-4.2676, -2.6491, 0.5278]],
  "species": ["Sb", "Ir", "Sb", "Tl"],
  "fractional_positions": [[0.2500, 0.2500, 0.2500], [0.5000, 0.5000, 0.5000], [0.0000, 0.0000, 0.0000], [0.7500, 0.7500, 0.7500]]
}

=====

(3)
{
  "formula": "SrCuBi",
  "functional": "GGA-PBE",
  "state": "relaxed",
  "dft_energy_ev_per_atom": -3.55,
  "lattice": [[-5.0467, 1.1475, 5.5076], [1.7981, -7.0427, -2.0706], [3.5491, -0.0533, 3.2631]],
  "species": ["Cu", "Bi", "Sr", "Bi", "Sr", "Bi", "Cu", "Cu", "Sr"],
  "fractional_positions": [[0.2296, 0.0000, 0.0000], [0.3333, 0.6667, 0.0000], [0.0000, 0.5624, 0.5000], [0.6667, 0.3333, 0.0000], [0.5624, 0.0000, 0.5000], [0.0000, 0.0000, 0.5000], [0.7704, 0.7704, 0.0000], [0.0000, 0.2296, 0.0000], [0.4376, 0.4376, 0.5000]]
}

=====

(4)
{
  "formula": "Tb2Ta2F3",
  "functional": "GGA-PBE",
  "state": "relaxed",
  "magnetic_moment_mub_per_atom": 0.002,
  "dft_energy_ev_per_atom": -6.72,
  "lattice": [[-5.1497, 9.8977, -4.0912], [1.8861, -10.4665, 5.3025], [0.6652, 1.3486, 2.4254]],
  "species": ["Ta", "Ta", "F", "Tb", "Tb", "F", "F"],
  "fractional_positions": [[0.2089, 0.7911, 0.0000], [0.7911, 0.2089, 0.0000], [0.5987, 0.4013, 0.5000], [0.9238, 0.0762, 0.0000], [0.0762, 0.9238, 0.0000], [0.5000, 0.5000, 0.5000], [0.4013, 0.5987, 0.5000]]
}

=====

(5)
{
  "formula": "ReW2",
  "functional": "GGA-PBE",
  "state": "relaxed",
  "formation_enthalpy_0k_mev_per_atom": 27.4,
  "polymorph_energy_mev_per_atom": 0,
  "magnetic_moment_mub_per_atom": 0.000,
  "lattice": [[-0.4769, -9.3032, -2.7382], [8.3724, 0.9885, -4.8167], [2.5499, -1.3535, 4.1545]],
  "species": ["W", "W", "W", "W", "Re", "Re", "Re", "W", "Re", "W", "Re", "W", "W", "W", "W", "W", "Re", "W", "W", "W", "Re", "W", "Re", "W", "W", "W", "Re", "Re", "W", "W"],
  "fractional_positions": [[0.4642, 0.1302, 0.0000], [0.9642, 0.3698, 0.5000], [0.0358, 0.6302, 0.5000], [0.5358, 0.8698, 0.0000], [0.7412, 0.0665, 0.0000], [0.4335, 0.2412, 0.5000], [0.7588, 0.5665, 0.5000], [0.6829, 0.3171, 0.7506], [0.9335, 0.2588, 0.0000], [0.1829, 0.1829, 0.2506], [0.0665, 0.7412, 0.0000], [0.6013, 0.6013, 0.0000], [0.8698, 0.5358, 0.0000], [0.1302, 0.4642, 0.0000], [0.3698, 0.9642, 0.5000], [0.8987, 0.1013, 0.5000], [0.5665, 0.7588, 0.5000], [0.1013, 0.8987, 0.5000], [0.3171, 0.6829, 0.7506], [0.8171, 0.8171, 0.2506], [0.2588, 0.9335, 0.0000], [0.8171, 0.8171, 0.7494], [0.0000, 0.0000, 0.0000], [0.3171, 0.6829, 0.2494], [0.6829, 0.3171, 0.2494], [0.1829, 0.1829, 0.7494], [0.2412, 0.4335, 0.5000], [0.5000, 0.5000, 0.5000], [0.6302, 0.0358, 0.5000], [0.3987, 0.3987, 0.0000]]
}

=====

(6)
{
  "formula": "ZrAlAg2S4",
  "functional": "GGA-PBE",
  "state": "relaxed",
  "magnetic_moment_mub_per_atom": 0.125,
  "dft_energy_ev_per_atom": -5.03,
  "lattice": [[1.2528, -0.2389, 6.8432], [-4.7671, -4.1254, 2.9515], [4.1964, -1.0365, -5.4563]],
  "species": ["Zr", "Ag", "S", "Al", "S", "Ag", "S", "S"],
  "fractional_positions": [[0.2500, 0.7500, 0.5000], [0.0000, 0.0000, 0.0000], [0.1613, 0.6159, 0.0126], [0.5000, 0.5000, 0.0000], [0.6032, 0.1486, 0.9874], [0.7500, 0.2500, 0.5000], [0.3841, 0.3968, 0.5454], [0.8514, 0.8387, 0.4546]]
}

=====

(7)
{
  "formula": "ZrBeTlCo",
  "functional": "GGA-PBE",
  "state": "relaxed",
  "polymorph_energy_mev_per_atom": 243,
  "magnetic_moment_mub_per_atom": 0.059,
  "lattice": [[0.0000, 3.1854, 3.1854], [3.1854, 0.0000, 3.1854], [3.1854, 3.1854, 0.0000]],
  "species": ["Be", "Tl", "Co", "Zr"],
  "fractional_positions": [[0.7500, 0.7500, 0.7500], [0.2500, 0.2500, 0.2500], [0.5000, 0.5000, 0.5000], [0.0000, 0.0000, 0.0000]]
}

=====

(8)
{
  "formula": "Na2Te2PdO8",
  "functional": "GGA-PBE",
  "state": "relaxed",
  "dft_energy_ev_per_atom": -5.09,
  "lattice": [[4.9691, 0.0000, 0.0000], [2.0040, 5.6680, 0.0000], [0.7294, 2.0386, 6.9201]],
  "species": ["O", "Na", "Te", "O", "O", "Na", "O", "O", "Te", "O", "Pd", "O", "O"],
  "fractional_positions": [[0.7409, 0.2002, 0.5282], [0.2091, 0.7480, 0.1783], [0.8817, 0.3231, 0.2799], [0.7589, 0.6753, 0.6630], [0.2411, 0.3247, 0.3370], [0.7909, 0.2520, 0.8217], [0.1256, 0.8779, 0.8614], [0.2591, 0.7998, 0.4718], [0.1183, 0.6769, 0.7201], [0.8744, 0.1221, 0.1386], [0.5000, 0.0000, 0.5000], [0.2922, 0.3542, 0.8422], [0.7078, 0.6458, 0.1578]]
}

=====

(9)
{
  "formula": "Lu2Fe3Si5",
  "functional": "GGA-PBE",
  "state": "relaxed",
  "polymorph_energy_mev_per_atom": 0,
  "magnetic_moment_mub_per_atom": 0.000,
  "lattice": [[10.2705, 0.0000, 0.0000], [0.0000, 10.2705, 0.0000], [0.0000, 0.0000, 5.3790]],
  "species": ["Si", "Si", "Fe", "Si", "Si", "Fe", "Fe", "Si", "Si", "Lu", "Fe", "Si", "Lu", "Si", "Lu", "Si", "Lu", "Lu", "Fe", "Si", "Fe", "Fe", "Fe", "Fe", "Si", "Si", "Lu", "Lu", "Si", "Si", "Si", "Lu", "Fe", "Fe", "Si", "Si", "Fe", "Si", "Si", "Si"],
  "fractional_positions": [[0.3215, 0.1785, 0.2500], [0.1785, 0.6785, 0.7500], [0.5000, 0.0000, 0.7500], [0.8191, 0.5234, 0.5000], [0.3191, 0.9766, 0.0000], [0.8768, 0.1433, 0.0000], [0.0000, 0.5000, 0.2500], [0.9766, 0.6809, 0.0000], [0.8215, 0.3215, 0.7500], [0.0690, 0.2370, 0.5000], [0.8567, 0.8768, 0.0000], [0.0234, 0.3191, 0.0000], [0.5690, 0.2630, 0.0000], [0.5000, 0.5000, 0.2578], [0.2370, 0.9310, 0.5000], [0.1785, 0.6785, 0.2500], [0.4310, 0.7370, 0.0000], [0.7370, 0.5690, 0.0000], [0.5000, 0.0000, 0.2500], [0.3215, 0.1785, 0.7500], [0.6232, 0.6433, 0.5000], [0.1433, 0.1232, 0.0000], [0.3567, 0.6232, 0.5000], [0.1232, 0.8567, 0.0000], [0.0000, 0.0000, 0.7578], [0.5234, 0.1809, 0.5000], [0.7630, 0.0690, 0.5000], [0.2630, 0.4310, 0.0000], [0.1809, 0.4766, 0.5000], [0.6785, 0.8215, 0.2500], [0.0000, 0.0000, 0.2422], [0.9310, 0.7630, 0.5000], [0.6433, 0.3768, 0.5000], [0.3768, 0.3567, 0.5000], [0.8215, 0.3215, 0.2500], [0.6785, 0.8215, 0.7500], [0.0000, 0.5000, 0.7500], [0.5000, 0.5000, 0.7422], [0.4766, 0.8191, 0.5000], [0.6809, 0.0234, 0.0000]]
}

=====

(10)
{
  "formula": "Pr3Mg2InAgPt2",
  "functional": "GGA-PBE",
  "state": "relaxed",
  "magnetic_moment_mub_per_atom": 0.002,
  "dft_energy_ev_per_atom": -4.62,
  "lattice": [[-3.2456, -0.1329, -2.5963], [-0.2429, -7.6820, 0.6969], [-4.0734, 4.3903, 4.8673]],
  "species": ["Pr", "Ag", "Pt", "Mg", "Mg", "Pr", "Pr", "In", "Pt"],
  "fractional_positions": [[0.0000, 0.0054, 0.4198], [0.0000, 0.9874, 0.9874], [0.5000, 0.3384, 0.6756], [0.5000, 0.7506, 0.0026], [0.5000, 0.0026, 0.7506], [0.0000, 0.5751, 0.5751], [0.0000, 0.4198, 0.0054], [0.5000, 0.2452, 0.2452], [0.5000, 0.6756, 0.3384]]
}

=====

(11)
{
  "formula": "HfCuAsOs",
  "functional": "GGA-PBE",
  "state": "relaxed",
  "polymorph_energy_mev_per_atom": 32,
  "magnetic_moment_mub_per_atom": 0.000,
  "lattice": [[-0.3613, -3.4289, 2.8600], [-1.7135, 0.6621, 4.0857], [-4.0387, -1.6430, 1.0283]],
  "species": ["As", "Os", "Cu", "Hf"],
  "fractional_positions": [[0.0000, 0.0000, 0.0000], [0.2500, 0.2500, 0.2500], [0.7500, 0.7500, 0.7500], [0.5000, 0.5000, 0.5000]]
}

=====

(12)
{
  "formula": "SrAcZn",
  "functional": "GGA-PBE",
  "state": "relaxed",
  "magnetic_moment_mub_per_atom": 0.005,
  "dft_energy_ev_per_atom": -2.32,
  "lattice": [[0.0000, 3.8571, 3.8571], [3.8571, 0.0000, 3.8571], [3.8571, 3.8571, 0.0000]],
  "species": ["Sr", "Zn", "Ac"],
  "fractional_positions": [[0.7500, 0.7500, 0.7500], [0.0000, 0.0000, 0.0000], [0.2500, 0.2500, 0.2500]]
}